Density functional theory data (PBE-GGA) for an optimized crystal structure of CdTcAs2.

Unit cell a=4.651 b=4.651 c=4.651 alpha=60.00 beta=60.00 gamma=60.00
Fractional coordinates of all 4 atoms:
As 0.000 0.000 0.000
As 0.250 0.250 0.250
Tc 0.750 0.750 0.750
Cd 0.500 0.500 0.500

Output
Formation enthalpy at 0 K   0.66 eV/atom
M_tot   0.00 μB/cell